[1]
DFT (PBE) results for a relaxed V2InB crystal.

Computed properties:
Energy above the most stable polymorph in this dataset, meV/atom: 0
E, eV/atom: -6.786
Total magnetic moment, μB per formula unit: 0.0
N(E_F), states/eV/atom: 0.57

abc: 3.1345 3.1345 22.9792
angles: 90.00 90.00 120.00
Space group R-3m (No. 166, hexagonal axes)
Asymmetric unit:
V  0.0000  0.0000  0.1222 x6
In  0.0000  0.0000  0.0000 x3
B  0.0000  0.0000  0.5000 x3

---

[2]
DFT (PBE) results for a relaxed V2InB crystal.

Computed properties:
Energy above the most stable polymorph in this dataset, meV/atom: 284
E, eV/atom: -6.502
Total magnetic moment, μB per formula unit: 0.0
N(E_F), states/eV/atom: 0.55

abc: 6.5935 6.5935 5.2108
angles: 90.00 90.00 90.00
Space group I-42d (No. 122)
Asymmetric unit:
V  0.1921  0.2500  0.1250 x8
In  0.0000  0.0000  0.5000 x4
B  0.0000  0.0000  0.0000 x4

---

What is the total magnetic moment in the first record?
0.0 μB per formula unit

---

Among the records above, which one has the lowest N(E_F)?
number 2

---

Look up the energy above the most stable polymorph in this dataset of the first one.
0 meV/atom

---

What did the first record say?
DFT (PBE) results for a relaxed V2InB crystal.

Computed properties:
Energy above the most stable polymorph in this dataset, meV/atom: 0
E, eV/atom: -6.786
Total magnetic moment, μB per formula unit: 0.0
N(E_F), states/eV/atom: 0.57

abc: 3.1345 3.1345 22.9792
angles: 90.00 90.00 120.00
Space group R-3m (No. 166, hexagonal axes)
Asymmetric unit:
V  0.0000  0.0000  0.1222 x6
In  0.0000  0.0000  0.0000 x3
B  0.0000  0.0000  0.5000 x3